## CeCrNiP2 (PBE)

Data for a relaxed structure of CeCrNiP2.

a = 3.815 Å, b = 3.815 Å, c = 10.708 Å
α = 90.00°, β = 90.00°, γ = 90.00°
Space group I-4m2 (No. 119)
Symmetry-distinct sites (fractional):
Ce  0.000  0.000  0.000 (multiplicity 2)
Cr  0.000  0.500  0.750 (multiplicity 2)
Ni  0.000  0.500  0.250 (multiplicity 2)
P  0.000  0.000  0.363 (multiplicity 4)

## Properties
N(E_F) in states/eV/f.u.: 4.9
M_tot in μB/f.u.: 0.266
Calculated total energy in eV for the cell shown: -73.3
V in Å³/cell: 156
Theoretical density in Mg/m³: 6.66

## La6DyHo2 (PBE)

Data for a relaxed structure of La6DyHo2.

a = 9.493 Å, b = 17.890 Å, c = 3.698 Å
α = 90.00°, β = 90.00°, γ = 90.00°
Space group Cmmm (No. 65)
Symmetry-distinct sites (fractional):
La  0.172  0.166  0.000 (multiplicity 8)
La  0.178  0.000  0.500 (multiplicity 4)
Dy  0.000  0.500  0.000 (multiplicity 2)
Ho  0.000  0.328  0.500 (multiplicity 4)

## Properties
Distance to the lowest polymorph of the same formula in meV per atom: 61
N(E_F) in states/eV/f.u.: 13.3
M_tot in μB/f.u.: 0.000
Calculated total energy in eV for the cell shown: -84.5
V in Å³/cell: 628
Theoretical density in Mg/m³: 7.01

## OsRu2 (PBE)

Data for a relaxed structure of OsRu2.

a = 7.3567 Å, b = 7.3567 Å, c = 2.7319 Å
α = 90.00°, β = 90.00°, γ = 120.00°
Space group P-62m (No. 189)
Symmetry-distinct sites (fractional):
Os  0.0000  0.0000  0.0000 (multiplicity 1)
Os  0.3333  0.6667  0.5000 (multiplicity 2)
Ru  0.0000  0.3011  0.5000 (multiplicity 3)
Ru  0.0000  0.6386  0.0000 (multiplicity 3)

## Properties
Distance to the lowest polymorph of the same formula in meV per atom: 126
N(E_F) in states/eV/f.u.: 3.1
M_tot in μB/f.u.: 0.000
Calculated total energy in eV for the cell shown: -88.3
V in Å³/cell: 128
Theoretical density in Mg/m³: 15.27

## YGa4Pd2Ru (PBE)

Data for a relaxed structure of YGa4Pd2Ru.

a = 4.2615 Å, b = 4.2615 Å, c = 26.1259 Å
α = 90.00°, β = 90.00°, γ = 120.00°
Space group R-3m (No. 166, hexagonal axes)
Symmetry-distinct sites (fractional):
Y  0.0000  0.0000  0.0000 (multiplicity 3)
Ga  0.0000  0.0000  0.1334 (multiplicity 6)
Ga  0.0000  0.0000  0.3989 (multiplicity 6)
Pd  0.0000  0.0000  0.2380 (multiplicity 6)
Ru  0.0000  0.0000  0.5000 (multiplicity 3)

## Properties
N(E_F) in states/eV/f.u.: 5.2
M_tot in μB/f.u.: 0.000
Calculated total energy in eV for the cell shown: -128.7
V in Å³/cell: 411
Theoretical density in Mg/m³: 8.26

## Zr2GaS (PBE)

Data for a relaxed structure of Zr2GaS.

a = 5.784 Å, b = 5.784 Å, c = 12.467 Å
α = 90.00°, β = 90.00°, γ = 90.00°
Space group I-42d (No. 122)
Symmetry-distinct sites (fractional):
Zr  0.231  0.250  0.125 (multiplicity 8)
Ga  0.000  0.000  0.500 (multiplicity 4)
S  0.000  0.000  0.000 (multiplicity 4)

## Properties
Distance to the lowest polymorph of the same formula in meV per atom: 708
N(E_F) in states/eV/f.u.: 3.4
M_tot in μB/f.u.: 0.000
Calculated total energy in eV for the cell shown: -100.6
V in Å³/cell: 417
Formation energy from raw total energies in meV/atom: -225
Theoretical density in Mg/m³: 4.53

## SrTl2Ru (PBE)

Data for a relaxed structure of SrTl2Ru.

a = 4.976 Å, b = 3.676 Å, c = 6.600 Å
α = 90.00°, β = 111.97°, γ = 90.00°
Space group Pm (No. 6)
Symmetry-distinct sites (fractional):
Sr  0.000  0.000  0.000 (multiplicity 1)
Tl  0.319  0.500  0.638 (multiplicity 1)
Tl  0.706  0.000  0.410 (multiplicity 1)
Ru  0.538  0.500  0.078 (multiplicity 1)

## Properties
N(E_F) in states/eV/f.u.: 2.1
M_tot in μB/f.u.: 0.000
Calculated total energy in eV for the cell shown: -14.7
V in Å³/cell: 112
Theoretical density in Mg/m³: 8.86

## AcY2Pd9 (PBE)

Data for a relaxed structure of AcY2Pd9.

a = 4.212 Å, b = 4.212 Å, c = 12.497 Å
α = 90.00°, β = 90.00°, γ = 90.00°
Space group P4/mmm (No. 123)
Symmetry-distinct sites (fractional):
Ac  0.000  0.000  0.000 (multiplicity 1)
Y  0.000  0.000  0.339 (multiplicity 2)
Pd  0.000  0.500  0.177 (multiplicity 4)
Pd  0.000  0.500  0.500 (multiplicity 2)
Pd  0.500  0.500  0.000 (multiplicity 1)
Pd  0.500  0.500  0.338 (multiplicity 2)

## Properties
N(E_F) in states/eV/f.u.: 7.9
M_tot in μB/f.u.: 0.000
Calculated total energy in eV for the cell shown: -73.3
V in Å³/cell: 222
Theoretical density in Mg/m³: 10.21

## PaTiRe2N6 (PBE)

Data for a relaxed structure of PaTiRe2N6.

a = 5.298 Å, b = 5.415 Å, c = 5.548 Å
α = 91.88°, β = 116.99°, γ = 119.24°
Space group P1 (No. 1)
Symmetry-distinct sites (fractional):
Pa  0.000  0.000  0.000 (multiplicity 1)
Ti  0.019  0.482  0.492 (multiplicity 1)
Re  0.594  0.812  0.349 (multiplicity 1)
Re  0.597  0.305  0.873 (multiplicity 1)
N  0.096  0.179  0.637 (multiplicity 1)
N  0.108  0.437  0.166 (multiplicity 1)
N  0.462  0.901  0.635 (multiplicity 1)
N  0.528  0.073  0.143 (multiplicity 1)
N  0.671  0.622  0.126 (multiplicity 1)
N  0.781  0.566  0.659 (multiplicity 1)

## Properties
N(E_F) in states/eV/f.u.: 3.7
M_tot in μB/f.u.: 0.000
Calculated total energy in eV for the cell shown: -98.6
V in Å³/cell: 117
Formation energy from raw total energies in meV/atom: -633
Theoretical density in Mg/m³: 10.44

## Sm5Si2Au2 (PBE)

Data for a relaxed structure of Sm5Si2Au2.

a = 15.699 Å, b = 7.704 Å, c = 7.681 Å
α = 90.00°, β = 90.00°, γ = 90.00°
Space group Cmce (No. 64)
Symmetry-distinct sites (fractional):
Sm  0.000  0.000  0.000 (multiplicity 4)
Sm  0.134  0.179  0.327 (multiplicity 16)
Si  0.000  0.117  0.618 (multiplicity 8)
Au  0.208  0.000  0.000 (multiplicity 8)

## Properties
N(E_F) in states/eV/f.u.: 8.6
M_tot in μB/f.u.: 0.000
Calculated total energy in eV for the cell shown: -189.6
V in Å³/cell: 929
Formation energy from raw total energies in meV/atom: -711
Theoretical density in Mg/m³: 8.59

## LaAu2N (PBE)

Data for a relaxed structure of LaAu2N.

a = 5.587 Å, b = 5.587 Å, c = 12.014 Å
α = 90.00°, β = 90.00°, γ = 90.00°
Space group I-42d (No. 122)
Symmetry-distinct sites (fractional):
La  0.000  0.000  0.000 (multiplicity 4)
Au  0.039  0.250  0.625 (multiplicity 8)
N  0.000  0.000  0.500 (multiplicity 4)

## Properties
N(E_F) in states/eV/f.u.: 5.8
M_tot in μB/f.u.: 0.000
Calculated total energy in eV for the cell shown: -73.6
V in Å³/cell: 375
Formation energy from raw total energies in meV/atom: 350
Theoretical density in Mg/m³: 9.69

## AcIn4Pb (PBE)

Data for a relaxed structure of AcIn4Pb.

a = 8.903 Å, b = 8.903 Å, c = 8.903 Å
α = 90.00°, β = 90.00°, γ = 90.00°
Space group F-43m (No. 216)
Symmetry-distinct sites (fractional):
Ac  0.000  0.000  0.000 (multiplicity 4)
In  0.125  0.125  0.375 (multiplicity 16)
Pb  0.250  0.250  0.750 (multiplicity 4)

## Properties
N(E_F) in states/eV/f.u.: 5.0
M_tot in μB/f.u.: 0.000
Calculated total energy in eV for the cell shown: -79.3
V in Å³/cell: 706
Theoretical density in Mg/m³: 8.41

## Sb2TeAu (PBE)

Data for a relaxed structure of Sb2TeAu.

a = 7.406 Å, b = 7.406 Å, c = 7.406 Å
α = 90.00°, β = 90.00°, γ = 90.00°
Space group F-43m (No. 216)
Symmetry-distinct sites (fractional):
Sb  0.000  0.000  0.000 (multiplicity 4)
Sb  0.250  0.250  0.250 (multiplicity 4)
Te  0.250  0.250  0.750 (multiplicity 4)
Au  0.000  0.000  0.500 (multiplicity 4)

## Properties
N(E_F) in states/eV/f.u.: 2.8
M_tot in μB/f.u.: 0.000
Calculated total energy in eV for the cell shown: -54.5
V in Å³/cell: 406
Formation energy from raw total energies in meV/atom: 258
Theoretical density in Mg/m³: 9.29

> M_tot of number 2 (La6DyHo2)?

0.000 μB/f.u.

Copy entry 1 word for word.
## CeCrNiP2 (PBE)

Data for a relaxed structure of CeCrNiP2.

a = 3.815 Å, b = 3.815 Å, c = 10.708 Å
α = 90.00°, β = 90.00°, γ = 90.00°
Space group I-4m2 (No. 119)
Symmetry-distinct sites (fractional):
Ce  0.000  0.000  0.000 (multiplicity 2)
Cr  0.000  0.500  0.750 (multiplicity 2)
Ni  0.000  0.500  0.250 (multiplicity 2)
P  0.000  0.000  0.363 (multiplicity 4)

## Properties
N(E_F) in states/eV/f.u.: 4.9
M_tot in μB/f.u.: 0.266
Calculated total energy in eV for the cell shown: -73.3
V in Å³/cell: 156
Theoretical density in Mg/m³: 6.66

> Which of these has the lowest N(E_F)?

SrTl2Ru